Record 1
! KOsBr2 (PBE, optimized geometry); values from VASP
&SYSTEM
  ibrav = 0, nat = 4, ntyp = 3
/
ATOMIC_SPECIES
Br 79.90 Br.upf
K 39.10 K.upf
Os 190.23 Os.upf
CELL_PARAMETERS angstrom
7.865 0.006 -0.008
6.039 5.038 0.008
-6.726 -3.146 2.593
ATOMIC_POSITIONS crystal
Br 0.064 0.064 0.000
Br 0.760 0.260 0.500
K 0.446 0.446 0.000
Os 0.230 0.730 0.500
! Magnetic moment ... 1.926 μB/f.u.
! Raw formation energy ... 9.54 kcal/mol of atoms
! Space-group type ... No. 44
! Crystal system ... orthorhombic
! Polymorph energy (0 for the lowest one) ... 142 kJ/mol of formula units

Record 2
! YTe2Rh (PBE, optimized geometry); values from VASP
&SYSTEM
  ibrav = 0, nat = 4, ntyp = 3
/
ATOMIC_SPECIES
Rh 102.91 Rh.upf
Te 127.60 Te.upf
Y 88.91 Y.upf
CELL_PARAMETERS angstrom
6.272 -0.089 0.026
5.016 3.766 0.026
-0.013 -0.004 4.083
ATOMIC_POSITIONS crystal
Rh 0.735 0.735 0.875
Te 0.960 0.960 0.875
Te 0.256 0.256 0.375
Y 0.549 0.549 0.375
! Magnetic moment ... 0.000 μB/f.u.
! Raw formation energy ... -17.87 kcal/mol of atoms
! Space-group type ... No. 38
! Crystal system ... orthorhombic
! Polymorph energy (0 for the lowest one) ... 14 kJ/mol of formula units